NiI4F2 | PBE with a Hubbard U | optimized geometry

abc: 5.280 5.280 8.321
angles: 71.50 71.50 90.00
Atoms (fractional coordinates):
F 0.337 0.337 0.326
F 0.663 0.663 0.674
Ni 0.000 0.000 0.000
I 0.500 0.000 0.000
I 0.000 0.500 0.000
I 0.796 0.796 0.407
I 0.204 0.204 0.593

Density of states at the Fermi level, states/eV per cell: 4.44
DFT total energy, eV/cell: -13.914
V, Å³ per atom: 29.616

***

NiI2F4 | PBE with a Hubbard U | optimized geometry

abc: 4.057 4.057 7.909
angles: 75.14 75.14 90.00
Atoms (fractional coordinates):
F 0.000 0.500 0.000
F 0.500 0.000 0.000
F 0.136 0.136 0.728
F 0.864 0.864 0.272
I 0.705 0.705 0.589
I 0.295 0.295 0.411
Ni 0.000 0.000 0.000

Density of states at the Fermi level, states/eV per cell: 2.16
DFT total energy, eV/cell: -20.152
V, Å³ per atom: 17.329

***

NiIF2 | PBE with a Hubbard U | optimized geometry

abc: 9.454 9.454 9.454
angles: 19.56 19.56 19.56
Atoms (fractional coordinates):
F 0.133 0.133 0.133
F 0.867 0.867 0.867
I 0.000 0.000 0.000
Ni 0.500 0.500 0.500

Density of states at the Fermi level, states/eV per cell: 0.86
DFT total energy, eV/cell: -13.752
Offset from the most stable computed form, kJ per mole of atoms: 0.0
V, Å³ per atom: 20.700

***

Question: The highest density of states at the Fermi level belongs to which entry?
Answer: NiI4F2

***

Question: The lowest V belongs to which entry?
Answer: NiI2F4

***

Question: Number 1 is which compound?
Answer: NiI4F2